No. 1
# GaCo

GaCo after structural relaxation (PBEsol, Alexandria).

Its total magnetization is 0.0 μB per formula unit. The formation energy is -8.00 kcal/mol of atoms. The calculation puts the mass density at 9.352 Mg/m³. For the volume, the calculation gives 11.4 Å³/atom.

The structure belongs to space group Pm-3m (No. 221); the cell edges are 2.837, 2.837 and 2.837 Å and the angles 90.00°, 90.00° and 90.00°. The asymmetric unit holds Ga at (0.000, 0.000, 0.000) and Co at (0.500, 0.500, 0.500).

***

No. 2
# EuCuSeF

EuCuSeF after structural relaxation (PBEsol, Alexandria).

Its total magnetization is 7.0 μB per formula unit. The calculation puts the mass density at 7.722 Mg/m³. For the volume, the calculation gives 16.9 Å³/atom. The value obtained for the uncorrected formation energy is -2006 meV/atom.

The structure belongs to space group P4/nmm (No. 129, origin choice 2); the cell edges are 3.954, 3.954 and 8.623 Å and the angles 90.00°, 90.00° and 90.00°. The asymmetric unit holds Eu at (0.250, 0.250, 0.170), Cu at (0.250, 0.750, 0.500), Se at (0.250, 0.250, 0.675) and F at (0.250, 0.750, 0.000).

***

No. 3
# Rb2LaCrCo

Rb2LaCrCo after structural relaxation (PBEsol, Alexandria).

Its total magnetization is 5.2 μB per formula unit. The formation energy is 30.38 kcal/mol of atoms. The calculation puts the mass density at 3.256 Mg/m³. For the volume, the calculation gives 42.9 Å³/atom.

The structure belongs to space group P4/mmm (No. 123); the cell edges are 6.987, 6.987 and 4.395 Å and the angles 90.00°, 90.00° and 90.00°. The asymmetric unit holds Rb at (0.000, 0.500, 0.000), La at (0.000, 0.000, 0.000), Cr at (0.500, 0.500, 0.500) and Co at (0.000, 0.000, 0.500).

***

No. 4
# CsSr2RePd

CsSr2RePd after structural relaxation (PBEsol, Alexandria).

Its total magnetization is 3.8 μB per formula unit. The formation energy is 28.86 kcal/mol of atoms. The calculation puts the mass density at 5.110 Mg/m³. For the volume, the calculation gives 39.0 Å³/atom.

The structure belongs to space group P4/mmm (No. 123); the cell edges are 5.713, 5.713 and 5.981 Å and the angles 90.00°, 90.00° and 90.00°. The asymmetric unit holds Cs at (0.000, 0.000, 0.000), Sr at (0.000, 0.500, 0.500), Re at (0.500, 0.500, 0.000) and Pd at (0.000, 0.000, 0.500).

***

No. 5
# ScSbRu

ScSbRu after structural relaxation (PBEsol, Alexandria).

Its total magnetization is 0.0 μB per formula unit. The calculation puts the mass density at 8.100 Mg/m³. For the volume, the calculation gives 18.3 Å³/atom. The value obtained for the uncorrected formation energy is -417 meV/atom.

The structure belongs to space group I4mm (No. 107); the cell edges are 3.176, 3.176 and 10.883 Å and the angles 90.00°, 90.00° and 90.00°. The asymmetric unit holds Sc at (0.000, 0.000, 0.000), Sb at (0.000, 0.000, 0.704) and Ru at (0.000, 0.000, 0.343).

***

No. 6
# Re3Ir

Re3Ir after structural relaxation (PBEsol, Alexandria).

Its total magnetization is 0.0 μB per formula unit. The formation energy is -1.08 kcal/mol of atoms. The calculation puts the mass density at 21.630 Mg/m³. For the volume, the calculation gives 14.4 Å³/atom.

The structure belongs to space group C2/m (No. 12); the cell edges are 9.078, 2.720 and 4.740 Å and the angles 90.00°, 99.97° and 90.00°. The asymmetric unit holds Re at (0.000, 0.000, 0.000), Re at (0.250, 0.000, 0.751) and Ir at (0.000, 0.500, 0.500).

***

No. 7
# Sc2PdRu

Sc2PdRu after structural relaxation (PBEsol, Alexandria).

Its total magnetization is 0.0 μB per formula unit. The formation energy is -17.44 kcal/mol of atoms. The calculation puts the mass density at 7.514 Mg/m³. For the volume, the calculation gives 16.4 Å³/atom.

The structure belongs to space group Fm-3m (No. 225); the cell edges are 6.406, 6.406 and 6.406 Å and the angles 90.00°, 90.00° and 90.00°. The asymmetric unit holds Sc at (0.250, 0.250, 0.250), Pd at (0.000, 0.000, 0.000) and Ru at (0.000, 0.000, 0.500).

***

No. 8
# Nb2ReSiSb

Nb2ReSiSb after structural relaxation (PBEsol, Alexandria).

Its total magnetization is 0.3 μB per formula unit. The calculation puts the mass density at 7.416 Mg/m³. For the volume, the calculation gives 23.4 Å³/atom. The value obtained for the uncorrected formation energy is 2071 meV/atom.

The structure belongs to space group P4/mmm (No. 123); the cell edges are 4.951, 4.951 and 4.766 Å and the angles 90.00°, 90.00° and 90.00°. The asymmetric unit holds Nb at (0.000, 0.500, 0.000), Re at (0.000, 0.000, 0.500), Si at (0.500, 0.500, 0.500) and Sb at (0.000, 0.000, 0.000).

***

What is the mass density in the eighth record?
7.416 Mg/m³